## MgAg2Ge2 (PBE-GGA)

Data for crystalline MgAg2Ge2 at its relaxed geometry.

The calculation puts the mass density at 6.5 g cm⁻³. The distance to the lowest polymorph of the same formula is 0.042 eV/atom. For the formation energy, the calculation gives 62.7 kJ/mol of formula units. The volume comes out at 19.675 Å³ per atom.

The structure belongs to space group P4/mbm (No. 127); the cell edges are 7.843, 7.843 and 3.199 Å and the angles 90.00°, 90.00° and 90.00°. Symmetry generates all atoms from Mg at (0.000, 0.000, 0.000), Ag at (0.128, 0.372, 0.000) and Ge at (0.173, 0.673, 0.500).

=====

## BaSi2Au (PBE-GGA)

Data for crystalline BaSi2Au at its relaxed geometry.

The calculation puts the mass density at 6.7 g cm⁻³. The volume comes out at 24.157 Å³ per atom. For the energy relative to the elements, uncorrected, the calculation gives 0.229 eV/atom.

The structure belongs to space group I-4m2 (No. 119); the cell edges are 4.789, 4.789 and 8.425 Å and the angles 90.00°, 90.00° and 90.00°. Symmetry generates all atoms from Ba at (0.000, 0.000, 0.000), Si at (0.000, 0.000, 0.500), Si at (0.000, 0.500, 0.750) and Au at (0.000, 0.500, 0.250).

=====

## VAuSe (PBE-GGA)

Data for crystalline VAuSe at its relaxed geometry.

The calculation puts the mass density at 9.6 g cm⁻³. The volume comes out at 18.882 Å³ per atom. For the energy relative to the elements, uncorrected, the calculation gives -0.277 eV/atom.

The structure belongs to space group P4/nmm (No. 129, origin choice 2); the cell edges are 3.112, 3.112 and 11.702 Å and the angles 90.00°, 90.00° and 90.00°. Symmetry generates all atoms from V at (0.250, 0.250, 0.241), Au at (0.250, 0.250, 0.918) and Se at (0.250, 0.250, 0.647).

=====

## HPdN2 (PBE-GGA)

Data for crystalline HPdN2 at its relaxed geometry.

The calculation puts the mass density at 6.3 g cm⁻³. The distance to the lowest polymorph of the same formula is 0.874 eV/atom. The volume comes out at 8.880 Å³ per atom.

The structure belongs to space group R-3m (No. 166, hexagonal axes); the cell edges are 2.8829, 2.8829 and 14.8054 Å and the angles 90.00°, 90.00° and 120.00°. Symmetry generates all atoms from H at (0.0000, 0.0000, 0.0000), Pd at (0.0000, 0.0000, 0.5000) and N at (0.0000, 0.0000, 0.3643).

=====

> Among the records above, which one has the highest volume?

BaSi2Au

=====

> Look up the mass density of the third one.

9.6 g cm⁻³

=====

> What is the volume in the fourth record?

8.880 Å³ per atom